VASP calculation (PBE-GGA) on a geometry-optimized Ba6Li2Rh structure.

Calculated values
**ΔH_f (0 K)**: -79 meV/atom
**SG**: No. 14
**Total moment**: 0.0 Bohr magnetons per cell
**Mass density**: 3.5 g/cm³

Lattice parameters (Å, degrees): 8.0247 9.2732 14.3351 90.00 123.23 90.00
Element x y z (fractional)
Ba: 0.1286 0.1683 0.4503
Ba: 0.1286 0.3317 0.9503
Ba: 0.2909 0.7039 0.4491
Ba: 0.2909 0.7961 0.9491
Ba: 0.3655 0.0242 0.2550
Ba: 0.3655 0.4758 0.7550
Ba: 0.6345 0.5242 0.2450
Ba: 0.6345 0.9758 0.7450
Ba: 0.7091 0.2039 0.0509
Ba: 0.7091 0.2961 0.5509
Ba: 0.8714 0.6683 0.0497
Ba: 0.8714 0.8317 0.5497
Li: 0.1955 0.1032 0.7564
Li: 0.1955 0.3968 0.2564
Li: 0.8045 0.6032 0.7436
Li: 0.8045 0.8968 0.2436
Rh: 0.5000 0.0000 0.5000
Rh: 0.5000 0.5000 0.0000